Here is a geometry-optimized K3MnHg structure from the Alexandria database. Energies are from PBE-GGA.

abc: 6.5146 6.5146 6.5146
angles: 90.00 90.00 90.00
Closest atoms and distances in Å follow each position.
Element x y z (fractional)
K  0.0000  0.5000  0.0000  2 Hg 3.26
K  0.0000  0.0000  0.5000  2 Hg 3.26
K  0.5000  0.0000  0.0000  2 Hg 3.26
Mn  0.5000  0.5000  0.5000  12 K 4.61
Hg  0.0000  0.0000  0.0000  6 K 3.26

Energy above the lowest structure with this stoichiometry, meV/atom: 0.0
Formation energy from the elements, meV/atom: 569.5
V, Å³/f.u.: 276.48
Total energy, hartree per atom: -0.073
SG: Pm-3m, No. 221
ρ, g/cm³: 2.2